Material: TcOs3
Method: DFT, PBE-GGA
State: relaxed

Output
- D(E_F): 1.96 states/eV/f.u.
- Total magnetic moment: 0.000 μB per formula unit
- Symmetry: P6_3/mmc (194)
- DFT formation energy: -0.075 eV/atom

Lattice parameters (Å, degrees): 5.5061 5.5061 4.3611 90.00 90.00 120.00
Element x y z (fractional)
Tc1 0.3333 0.6667 0.2500
Tc2 0.6667 0.3333 0.7500
Os1 0.1667 0.3334 0.7500
Os2 0.1667 0.8333 0.7500
Os3 0.3334 0.1667 0.2500
Os4 0.6666 0.8333 0.7500
Os5 0.8333 0.1667 0.2500
Os6 0.8333 0.6666 0.2500